# LiCu2Pd2

A geometry-optimized LiCu2Pd2 structure (PBE, Alexandria via LeMat-Bulk).

Cell lengths 6.177, 6.177, 6.177 Å; angles 143.43, 143.43, 52.68 degrees
Element x y z (fractional)
Li 0.000 0.000 0.000
Cu 0.397 0.397 0.000
Cu 0.603 0.603 0.000
Pd 0.250 0.750 0.500
Pd 0.750 0.250 0.500

Calculated values
- ΔH_f (0 K): 0.500 eV/f.u.
- Crystal system: tetragonal
- E above lowest polymorph: 317 meV per atom
- Electronic total energy: -3.9983 eV per atom
- Symmetry: I4/mmm, No. 139
- Calculated volume: 83.15 Å³/f.u.
- Size of the total moment: 0.0 Bohr magnetons per cell